Record 1
Below is a relaxed structure of TmThNbN3, with properties calculated at the PBE level.

POSCAR file:
```
TmThNbN3
1.0
7.116 0.000 0.000
0.000 3.337 0.000
-1.142 0.000 8.309
Tm Th Nb N
2 2 2 6
Direct
0.144 0.250 0.133
0.856 0.750 0.867
0.337 0.750 0.808
0.663 0.250 0.192
0.374 0.750 0.424
0.626 0.250 0.576
0.093 0.250 0.868
0.317 0.250 0.578
0.384 0.750 0.147
0.616 0.250 0.853
0.683 0.750 0.422
0.907 0.750 0.132
```

## Properties
- Formation energy (no corrections): -1.199 eV per atom
- Spin magnetization: 0.000 μB/cell
- DOS(E_F): 4.72 states/eV per cell


Record 2
Below is a relaxed structure of Th2NbWN6, with properties calculated at the PBE level.

POSCAR file:
```
Th2NbWN6
1.0
5.579 0.000 0.000
0.000 5.579 0.000
0.000 0.000 4.654
Th Nb W N
2 1 1 6
Direct
0.000 0.500 0.000
0.500 0.000 0.000
0.000 0.000 0.584
0.500 0.500 0.587
0.000 0.000 0.178
0.255 0.255 0.715
0.255 0.745 0.715
0.500 0.500 0.196
0.745 0.255 0.715
0.745 0.745 0.715
```

## Properties
- Formation energy (no corrections): -1.126 eV per atom
- Spin magnetization: 0.000 μB/cell
- DOS(E_F): 1.89 states/eV per cell


Record 3
Below is a relaxed structure of YThNbN3, with properties calculated at the PBE level.

POSCAR file:
```
YThNbN3
1.0
7.225 0.000 0.000
0.000 3.395 0.000
-0.330 0.000 8.003
Y Th Nb N
2 2 2 6
Direct
0.123 0.250 0.346
0.877 0.750 0.654
0.395 0.750 0.675
0.605 0.250 0.325
0.133 0.250 0.940
0.867 0.750 0.060
0.132 0.250 0.657
0.169 0.750 0.086
0.376 0.750 0.394
0.624 0.250 0.606
0.831 0.250 0.914
0.868 0.750 0.343
```

## Properties
- Formation energy (no corrections): -1.103 eV per atom
- Spin magnetization: 0.000 μB/cell
- DOS(E_F): 5.03 states/eV per cell